No. 1
AcDyTaO6 after structural relaxation, computed with PBE-GGA.

Output
N(E_F) = 0.614 states/eV/atom
Formation energy without anion corrections = -2.969 eV per atom
Size of the total moment = 1.92 μB per cell
E = -8.5593 eV/atom
Volume = 283.14 Å³/cell

Cell: 5.1879 5.1879 10.5198 Å, 90.00 90.00 90.00°
With the nearest neighbours (Å) after each atom.
Space group P4_2nm (No. 102)
Unique sites:
Ac 0.0000 0.0000 0.0000  6 O 2.41-2.54
Dy 0.0000 0.0000 0.3337  6 O 2.28-2.31
Ta 0.0000 0.0000 0.6655  6 O 2.00-2.03
O 0.1718 0.1718 0.5145  1 Ta 2.03
O 0.1930 0.1930 0.7998  1 Ta 2.00
O 0.2267 0.2267 0.1819  1 Ta 2.01

No. 2
Ac2TbDyO6 after structural relaxation, computed with PBE-GGA.

Output
N(E_F) = 0.000 states/eV/atom
Formation energy without anion corrections = -3.445 eV per atom
Size of the total moment = 0.00 μB per cell
E = -8.1647 eV/atom
Volume = 327.38 Å³/cell

Cell: 6.0471 6.2242 10.5914 Å, 90.00 124.79 90.00°
With the nearest neighbours (Å) after each atom.
Space group P2_1/c (No. 14)
Unique sites:
Ac 0.2354 0.0476 0.2501  4 O 2.47-2.62
Tb 0.5000 0.0000 0.0000  6 O 2.28-2.32
Dy 0.0000 0.0000 0.5000  6 O 2.27-2.31
O 0.1329 0.1997 0.9358  1 Tb 2.28, 1 Dy 2.29, 1 Ac 2.49
O 0.2375 0.6984 0.9361  1 Dy 2.27, 1 Tb 2.30, 1 Ac 2.49
O 0.3677 0.0520 0.7492  1 Dy 2.31, 1 Tb 2.32, 1 Ac 2.47

No. 3
Ac2DyTc3O12 after structural relaxation, computed with PBE-GGA.

Output
N(E_F) = 0.314 states/eV/atom
Formation energy without anion corrections = -2.137 eV per atom
Size of the total moment = 17.51 μB per cell
E = -7.8821 eV/atom
Volume = 735.68 Å³/cell

Cell: 7.2882 7.2882 15.9927 Å, 90.00 90.00 120.00°
With the nearest neighbours (Å) after each atom.
Space group R-3m (No. 166, hexagonal axes)
Unique sites:
Ac 0.0000 0.0000 0.1184  3 O 2.37
Dy 0.0000 0.0000 0.5000  6 O 2.50
Tc 0.0000 0.5000 0.0000  6 O 1.95-1.96
O 0.0443 0.5221 0.8795  1 Tc 1.95
O 0.0665 0.5333 0.3104  2 Tc 1.96

No. 4
Ac2DyTcO6 after structural relaxation, computed with PBE-GGA.

Output
N(E_F) = 0.213 states/eV/atom
Formation energy without anion corrections = -2.699 eV per atom
Size of the total moment = 4.00 μB per cell
E = -7.9924 eV/atom
Volume = 304.24 Å³/cell

Cell: 5.7473 8.4549 6.2612 Å, 90.00 90.00 90.00°
With the nearest neighbours (Å) after each atom.
Space group Pmmn (No. 59, origin choice 2)
Unique sites:
Ac 0.2500 0.0294 0.2060  7 O 2.59-2.88
Dy 0.2500 0.2500 0.7165  6 O 2.18-2.24
Tc 0.2500 0.7500 0.7743  6 O 2.03-2.07
O 0.0003 0.2500 0.9918  1 Tc 2.05, 1 Dy 2.24
O 0.0069 0.2500 0.4493  1 Tc 2.03, 1 Dy 2.18
O 0.2500 0.5061 0.7948  1 Tc 2.07, 1 Dy 2.22